Computed, not measured: a relaxed structure of BMo2 at the PBE level of DFT.

Output
density of states at the Fermi level	7.9	states/eV per cell
ρ	9.103	g cm⁻³
formation enthalpy at 0 K	-31	kJ per mole of atoms

Cell lengths 5.5598, 5.5598, 4.7843 Å; angles 90.00, 90.00, 90.00 degrees
Closest atoms and distances in Å follow each position.
Fractional positions:
B 0.0000 0.0000 0.2500  8 Mo 2.39, 2 B 2.39
B 0.0000 0.0000 0.7500  8 Mo 2.39, 2 B 2.39
B 0.5000 0.5000 0.2500  8 Mo 2.39, 2 B 2.39
B 0.5000 0.5000 0.7500  8 Mo 2.39, 2 B 2.39
Mo 0.1694 0.3306 0.0000  4 B 2.39, 1 Mo 2.66
Mo 0.1694 0.6694 0.5000  4 B 2.39, 1 Mo 2.66
Mo 0.3306 0.1694 0.5000  4 B 2.39, 1 Mo 2.66
Mo 0.3306 0.8306 0.0000  4 B 2.39, 1 Mo 2.66
Mo 0.6694 0.1694 0.0000  4 B 2.39, 1 Mo 2.66
Mo 0.6694 0.8306 0.5000  4 B 2.39, 1 Mo 2.66
Mo 0.8306 0.3306 0.5000  4 B 2.39, 1 Mo 2.66
Mo 0.8306 0.6694 0.0000  4 B 2.39, 1 Mo 2.66

***

Computed, not measured: a relaxed structure of TlZnN2 at the PBE level of DFT.

Output
density of states at the Fermi level	5.4	states/eV per cell
ρ	8.388	g cm⁻³
raw formation energy	4.48	eV per formula unit
energy above the most stable polymorph in this dataset	32.3	kJ per mole of atoms

Cell lengths 3.3325, 3.3325, 18.3905 Å; angles 90.00, 90.00, 120.00 degrees
Closest atoms and distances in Å follow each position.
Fractional positions:
Tl 0.0000 0.0000 0.0000  2 N 2.09
Tl 0.3333 0.6667 0.6667  2 N 2.09
Tl 0.6667 0.3333 0.3333  2 N 2.09
Zn 0.0000 0.0000 0.5000  6 N 2.16
Zn 0.3333 0.6667 0.1667  6 N 2.16
Zn 0.6667 0.3333 0.8333  6 N 2.16
N 0.0000 0.0000 0.1136  1 Tl 2.09, 3 Zn 2.16
N 0.0000 0.0000 0.8864  1 Tl 2.09, 3 Zn 2.16
N 0.3333 0.6667 0.5531  1 Tl 2.09, 3 Zn 2.16
N 0.3333 0.6667 0.7802  1 Tl 2.09, 3 Zn 2.16
N 0.6667 0.3333 0.2198  1 Tl 2.09, 3 Zn 2.16
N 0.6667 0.3333 0.4469  1 Tl 2.09, 3 Zn 2.16

***

Computed, not measured: a relaxed structure of Re2N2O7 at the PBE level of DFT.

Output
density of states at the Fermi level	0.0	states/eV per cell
ρ	3.185	g cm⁻³
raw formation energy	-13.11	eV per formula unit

Cell lengths 5.9365, 5.9365, 7.7001 Å; angles 96.12, 96.12, 94.49 degrees
Closest atoms and distances in Å follow each position.
Fractional positions:
Re 0.2365 0.2365 0.0519  4 O 1.72-1.89
Re 0.7635 0.7635 0.9481  4 O 1.72-1.89
N 0.0639 0.9361 0.5000  1 N 1.11
N 0.9361 0.0639 0.5000  1 N 1.11
O 0.0000 0.0000 0.0000  2 Re 1.89
O 0.1462 0.4666 0.1736  1 Re 1.73
O 0.3265 0.3265 0.8635  1 Re 1.72
O 0.4666 0.1462 0.1736  1 Re 1.73
O 0.5334 0.8538 0.8264  1 Re 1.73
O 0.6735 0.6735 0.1365  1 Re 1.72
O 0.8538 0.5334 0.8264  1 Re 1.73